Entry A
The following is a GGA-PBE calculation of an optimized crystal structure of AgB3Pb, from Alexandria.

## Properties
Space-group type   No. 221

Cell: 4.3603 4.3603 4.3603 Å, 90.00 90.00 90.00°
Closest atoms and distances in Å follow each position.
Atoms (fractional coordinates):
Pb (0.5000, 0.5000, 0.5000)  12 B 3.08
B (0.0000, 0.5000, 0.0000)  2 Ag 2.18
B (0.0000, 0.0000, 0.5000)  2 Ag 2.18
B (0.5000, 0.0000, 0.0000)  2 Ag 2.18
Ag (0.0000, 0.0000, 0.0000)  6 B 2.18



Entry B
The following is a GGA-PBE calculation of an optimized crystal structure of AgB3Pb, from Alexandria.

## Properties
Space-group type   No. 221

Cell: 4.6830 4.6830 4.6830 Å, 90.00 90.00 90.00°
Closest atoms and distances in Å follow each position.
Atoms (fractional coordinates):
Pb (0.0000, 0.0000, 0.0000)  6 B 2.34
B (0.0000, 0.5000, 0.0000)  2 Pb 2.34
B (0.0000, 0.0000, 0.5000)  2 Pb 2.34
B (0.5000, 0.0000, 0.0000)  2 Pb 2.34
Ag (0.5000, 0.5000, 0.5000)  12 B 3.31



What should be chosen as the most stable of them? Choose entry A.



Entry A
The following is a GGA-PBE calculation of an optimized crystal structure of Ag2B2Pd, from Alexandria.

## Properties
Space-group type   No. 127

Cell: 5.6317 5.6317 4.0161 Å, 90.00 90.00 90.00°
Closest atoms and distances in Å follow each position.
Atoms (fractional coordinates):
B (0.3958, 0.8958, 0.0000)  1 B 1.66
B (0.8958, 0.6042, 0.0000)  1 B 1.66
B (0.6042, 0.1042, 0.0000)  1 B 1.66
B (0.1042, 0.3958, 0.0000)  1 B 1.66
Pd (0.0000, 0.0000, 0.0000)  4 B 2.30
Pd (0.5000, 0.5000, 0.0000)  4 B 2.30
Ag (0.1948, 0.6948, 0.5000)  6 B 2.57-2.67, 4 Pd 2.86
Ag (0.6948, 0.8052, 0.5000)  6 B 2.57-2.67, 4 Pd 2.86
Ag (0.8052, 0.3052, 0.5000)  6 B 2.57-2.67, 4 Pd 2.86
Ag (0.3052, 0.1948, 0.5000)  6 B 2.57-2.67, 4 Pd 2.86



Entry B
The following is a GGA-PBE calculation of an optimized crystal structure of Ag2B2Pd, from Alexandria.

## Properties
Space-group type   No. 139

Cell: 3.8275 3.8275 5.2470 Å, 68.61 68.61 90.00°
Closest atoms and distances in Å follow each position.
Atoms (fractional coordinates):
B (0.4110, 0.4110, 0.1780)  1 B 1.60
B (0.5890, 0.5890, 0.8220)  1 B 1.60
Pd (0.0000, 0.0000, 0.0000)  8 B 2.82, 8 Ag 2.95
Ag (0.7500, 0.2500, 0.5000)  4 B 2.40
Ag (0.2500, 0.7500, 0.5000)  4 B 2.40



What should be chosen as the most stable of them? Choose entry A.



Entry A
The following is a GGA-PBE calculation of an optimized crystal structure of AgB2Pd, from Alexandria.

## Properties
Space-group type   No. 225

Cell: 4.0048 4.0048 4.0048 Å, 60.00 60.00 60.00°
Closest atoms and distances in Å follow each position.
Atoms (fractional coordinates):
B (0.2500, 0.2500, 0.2500)  4 Pd 2.45, 4 Ag 2.45
B (0.7500, 0.7500, 0.7500)  4 Pd 2.45, 4 Ag 2.45
Pd (0.0000, 0.0000, 0.0000)  8 B 2.45
Ag (0.5000, 0.5000, 0.5000)  8 B 2.45



Entry B
The following is a GGA-PBE calculation of an optimized crystal structure of AgB2Pd, from Alexandria.

## Properties
Space-group type   No. 122

Cell: 5.0236 5.0236 5.9496 Å, 65.03 65.03 90.00°
Closest atoms and distances in Å follow each position.
Atoms (fractional coordinates):
B (0.5952, 0.1250, 0.2500)  2 Pd 2.06, 2 Ag 2.23
B (0.1548, 0.6250, 0.2500)  2 Pd 2.06, 2 Ag 2.23
B (0.3750, 0.4048, 0.7500)  2 Pd 2.06, 2 Ag 2.23
B (0.8750, 0.8452, 0.7500)  2 Pd 2.06, 2 Ag 2.23
Pd (0.5000, 0.5000, 0.0000)  4 B 2.06
Pd (0.2500, 0.7500, 0.5000)  4 B 2.06
Ag (0.0000, 0.0000, 0.0000)  4 B 2.23
Ag (0.7500, 0.2500, 0.5000)  4 B 2.23



What should be chosen as the most stable of them? Choose entry B.



Entry A
The following is a GGA-PBE calculation of an optimized crystal structure of Ag3BPd, from Alexandria.

## Properties
Space-group type   No. 221

Cell: 5.0776 5.0776 5.0776 Å, 90.00 90.00 90.00°
Closest atoms and distances in Å follow each position.
Atoms (fractional coordinates):
B (0.5000, 0.5000, 0.5000)  12 Ag 3.59
Pd (0.0000, 0.0000, 0.0000)  6 Ag 2.54
Ag (0.0000, 0.5000, 0.0000)  2 Pd 2.54
Ag (0.0000, 0.0000, 0.5000)  2 Pd 2.54
Ag (0.5000, 0.0000, 0.0000)  2 Pd 2.54



Entry B
The following is a GGA-PBE calculation of an optimized crystal structure of Ag3BPd, from Alexandria.

## Properties
Space-group type   No. 221

Cell: 4.3206 4.3206 4.3206 Å, 90.00 90.00 90.00°
Closest atoms and distances in Å follow each position.
Atoms (fractional coordinates):
B (0.0000, 0.0000, 0.0000)  6 Ag 2.16
Pd (0.5000, 0.5000, 0.5000)  12 Ag 3.06
Ag (0.0000, 0.5000, 0.0000)  2 B 2.16
Ag (0.0000, 0.0000, 0.5000)  2 B 2.16
Ag (0.5000, 0.0000, 0.0000)  2 B 2.16



What should be chosen as the most stable of them? Choose entry B.



Entry A
The following is a GGA-PBE calculation of an optimized crystal structure of AgBPt4, from Alexandria.

## Properties
Space-group type   No. 2

Cell: 5.0407 5.7370 6.9751 Å, 106.18 111.32 89.92°
Closest atoms and distances in Å follow each position.
Atoms (fractional coordinates):
Ag (0.9212, 0.7501, 0.0001)  10 Pt 2.85-3.01, 2 Ag 2.98
Ag (0.0788, 0.2499, 0.9999)  10 Pt 2.85-3.01, 2 Ag 2.98
B (0.5000, 0.0000, 0.5000)  6 Pt 2.11-2.14
B (0.0000, 0.5000, 0.5000)  6 Pt 2.11-2.14
Pt (0.4785, 0.0597, 0.8101)  1 B 2.14
Pt (0.6677, 0.4401, 0.1893)  1 B 2.14
Pt (0.5215, 0.9403, 0.1899)  1 B 2.14
Pt (0.3323, 0.5599, 0.8107)  1 B 2.14
Pt (0.9023, 0.8587, 0.6055)  2 B 2.11-2.13
Pt (0.2970, 0.6408, 0.3947)  2 B 2.11-2.14
Pt (0.0977, 0.1413, 0.3945)  2 B 2.11-2.13
Pt (0.7030, 0.3592, 0.6053)  2 B 2.11-2.14



Entry B
The following is a GGA-PBE calculation of an optimized crystal structure of AgBPt4, from Alexandria.

## Properties
Space-group type   No. 12

Cell: 5.6129 4.9553 7.4109 Å, 109.53 67.75 90.00°
Closest atoms and distances in Å follow each position.
Atoms (fractional coordinates):
Ag (0.8060, 0.1943, 0.3879)  12 Pt 2.81-3.01
Ag (0.1940, 0.8057, 0.6121)  12 Pt 2.81-3.01
B (0.4999, 0.6842, 0.0003)  1 B 1.82
B (0.5001, 0.3158, 0.9997)  1 B 1.82
Pt (0.6945, 0.8062, 0.6111)  8 Pt 2.81-3.05, 4 Ag 2.81-2.86, 2 B 2.94
Pt (0.6426, 0.6139, 0.2279)  2 B 2.24
Pt (0.7552, 0.0000, 0.0000)  2 B 2.12
Pt (0.8705, 0.3861, 0.7721)  2 B 2.24
Pt (0.3055, 0.1938, 0.3889)  8 Pt 2.81-3.05, 4 Ag 2.81-2.86, 2 B 2.94
Pt (0.3574, 0.3861, 0.7721)  2 B 2.24
Pt (0.2448, 0.0000, 0.0000)  2 B 2.12
Pt (0.1295, 0.6139, 0.2279)  2 B 2.24



What should be chosen as the most stable of them? Choose entry A.



Entry A
The following is a GGA-PBE calculation of an optimized crystal structure of RbAgB2, from Alexandria.

## Properties
Space-group type   No. 141

Cell: 5.1756 5.1756 7.5952 Å, 70.08 70.08 90.00°
Closest atoms and distances in Å follow each position.
Atoms (fractional coordinates):
B (0.8751, 0.1250, 0.2500)  2 Ag 2.11
B (0.8749, 0.6250, 0.2500)  2 Ag 2.11
B (0.3750, 0.1249, 0.7500)  2 Ag 2.11
B (0.8750, 0.1251, 0.7500)  2 Ag 2.11
Rb (0.5000, 0.5000, 0.0000)  8 B 3.34, 4 Ag 3.66
Rb (0.2500, 0.7500, 0.5000)  8 B 3.34, 4 Ag 3.66
Ag (0.0000, 0.0000, 0.0000)  4 B 2.11
Ag (0.7500, 0.2500, 0.5000)  4 B 2.11



Entry B
The following is a GGA-PBE calculation of an optimized crystal structure of RbAgB2, from Alexandria.

## Properties
Space-group type   No. 225

Cell: 4.6845 4.6845 4.6845 Å, 60.00 60.00 60.00°
Closest atoms and distances in Å follow each position.
Atoms (fractional coordinates):
B (0.2500, 0.2500, 0.2500)  4 Ag 2.87, 4 Rb 2.87
B (0.7500, 0.7500, 0.7500)  4 Rb 2.87, 4 Ag 2.87
Rb (0.0000, 0.0000, 0.0000)  8 B 2.87
Ag (0.5000, 0.5000, 0.5000)  8 B 2.87



What should be chosen as the most stable of them? Choose entry A.



Entry A
The following is a GGA-PBE calculation of an optimized crystal structure of ReAgB2, from Alexandria.

## Properties
Space-group type   No. 122

Cell: 4.9633 4.9633 6.0210 Å, 65.66 65.66 90.00°
Closest atoms and distances in Å follow each position.
Atoms (fractional coordinates):
Re (0.0000, 0.0000, 0.0000)  4 B 2.03
Re (0.7500, 0.2500, 0.5000)  4 B 2.03
B (0.6664, 0.1250, 0.2500)  2 Re 2.03, 2 Ag 2.26
B (0.0836, 0.6250, 0.2500)  2 Re 2.03, 2 Ag 2.26
B (0.3750, 0.3336, 0.7500)  2 Re 2.03, 2 Ag 2.26
B (0.8750, 0.9164, 0.7500)  2 Re 2.03, 2 Ag 2.26
Ag (0.5000, 0.5000, 0.0000)  4 B 2.26
Ag (0.2500, 0.7500, 0.5000)  4 B 2.26



Entry B
The following is a GGA-PBE calculation of an optimized crystal structure of ReAgB2, from Alexandria.

## Properties
Space-group type   No. 225

Cell: 3.9665 3.9665 3.9665 Å, 60.00 60.00 60.00°
Closest atoms and distances in Å follow each position.
Atoms (fractional coordinates):
Re (0.5000, 0.5000, 0.5000)  8 B 2.43
B (0.2500, 0.2500, 0.2500)  4 Re 2.43, 4 Ag 2.43
B (0.7500, 0.7500, 0.7500)  4 Ag 2.43, 4 Re 2.43
Ag (0.0000, 0.0000, 0.0000)  8 B 2.43



What should be chosen as the most stable of them? Choose entry A.



Entry A
The following is a GGA-PBE calculation of an optimized crystal structure of Re3AgB, from Alexandria.

## Properties
Space-group type   No. 221

Cell: 4.7732 4.7732 4.7732 Å, 90.00 90.00 90.00°
Closest atoms and distances in Å follow each position.
Atoms (fractional coordinates):
Re (0.0000, 0.5000, 0.0000)  2 Ag 2.39
Re (0.0000, 0.0000, 0.5000)  2 Ag 2.39
Re (0.5000, 0.0000, 0.0000)  2 Ag 2.39
B (0.5000, 0.5000, 0.5000)  12 Re 3.38
Ag (0.0000, 0.0000, 0.0000)  6 Re 2.39



Entry B
The following is a GGA-PBE calculation of an optimized crystal structure of Re3AgB, from Alexandria.

## Properties
Space-group type   No. 221

Cell: 4.1512 4.1512 4.1512 Å, 90.00 90.00 90.00°
Closest atoms and distances in Å follow each position.
Atoms (fractional coordinates):
Re (0.0000, 0.5000, 0.0000)  2 B 2.08
Re (0.0000, 0.0000, 0.5000)  2 B 2.08
Re (0.5000, 0.0000, 0.0000)  2 B 2.08
B (0.0000, 0.0000, 0.0000)  6 Re 2.08
Ag (0.5000, 0.5000, 0.5000)  12 Re 2.94



What should be chosen as the most stable of them? Choose entry B.



Entry A
The following is a GGA-PBE calculation of an optimized crystal structure of AgBRh3, from Alexandria.

## Properties
Space-group type   No. 221

Cell: 4.1266 4.1266 4.1266 Å, 90.00 90.00 90.00°
Closest atoms and distances in Å follow each position.
Atoms (fractional coordinates):
B (0.0000, 0.0000, 0.0000)  6 Rh 2.06
Rh (0.0000, 0.5000, 0.0000)  2 B 2.06
Rh (0.0000, 0.0000, 0.5000)  2 B 2.06
Rh (0.5000, 0.0000, 0.0000)  2 B 2.06
Ag (0.5000, 0.5000, 0.5000)  12 Rh 2.92



Entry B
The following is a GGA-PBE calculation of an optimized crystal structure of AgBRh3, from Alexandria.

## Properties
Space-group type   No. 166

Cell: 5.6068 5.6074 6.0340 Å, 90.00 62.27 60.00°
Closest atoms and distances in Å follow each position.
Atoms (fractional coordinates):
Ag (0.8910, 0.5093, 0.4730)  1 Ag 2.71, 9 Rh 2.80-2.86
Ag (0.5354, 0.6871, 0.0061)  1 Ag 2.71, 9 Rh 2.80-2.86
B (0.0501, 0.9297, 0.7345)  6 Rh 2.13-2.14
B (0.3762, 0.2667, 0.7446)  6 Rh 2.13-2.14
Rh (0.3979, 0.0096, 0.4662)  2 B 2.13-2.14
Rh (0.0285, 0.6944, 0.0129)  2 B 2.13-2.14
Rh (0.5356, 0.1870, 0.0126)  2 B 2.13-2.14
Rh (0.0285, 0.1868, 0.0129)  2 B 2.13-2.14
Rh (0.3979, 0.5021, 0.4662)  2 B 2.13-2.14
Rh (0.8908, 0.0094, 0.4665)  2 B 2.13-2.14



Entry C
The following is a GGA-PBE calculation of an optimized crystal structure of AgBRh3, from Alexandria.

## Properties
Space-group type   No. 221

Cell: 4.8115 4.8115 4.8115 Å, 90.00 90.00 90.00°
Closest atoms and distances in Å follow each position.
Atoms (fractional coordinates):
B (0.5000, 0.5000, 0.5000)  12 Rh 3.40
Rh (0.0000, 0.5000, 0.0000)  2 Ag 2.41
Rh (0.0000, 0.0000, 0.5000)  2 Ag 2.41
Rh (0.5000, 0.0000, 0.0000)  2 Ag 2.41
Ag (0.0000, 0.0000, 0.0000)  6 Rh 2.41



What should be chosen as the most stable of them? Choose entry B.



Entry A
The following is a GGA-PBE calculation of an optimized crystal structure of AgB2Ru, from Alexandria.

## Properties
Space-group type   No. 122

Cell: 4.8815 4.8815 5.9987 Å, 65.99 65.99 90.00°
Closest atoms and distances in Å follow each position.
Atoms (fractional coordinates):
Ru (0.5000, 0.5000, 0.0000)  4 B 1.98
Ru (0.2500, 0.7500, 0.5000)  4 B 1.98
B (0.5717, 0.1250, 0.2500)  2 Ru 1.98
B (0.1783, 0.6250, 0.2500)  2 Ru 1.98
B (0.3750, 0.4283, 0.7500)  2 Ru 1.98
B (0.8750, 0.8217, 0.7500)  2 Ru 1.98
Ag (0.0000, 0.0000, 0.0000)  4 B 2.28
Ag (0.7500, 0.2500, 0.5000)  4 B 2.28



Entry B
The following is a GGA-PBE calculation of an optimized crystal structure of AgB2Ru, from Alexandria.

## Properties
Space-group type   No. 225

Cell: 3.9481 3.9481 3.9481 Å, 60.00 60.00 60.00°
Closest atoms and distances in Å follow each position.
Atoms (fractional coordinates):
Ru (0.0000, 0.0000, 0.0000)  8 B 2.42
B (0.2500, 0.2500, 0.2500)  4 Ru 2.42, 4 Ag 2.42
B (0.7500, 0.7500, 0.7500)  4 Ru 2.42, 4 Ag 2.42
Ag (0.5000, 0.5000, 0.5000)  8 B 2.42



What should be chosen as the most stable of them? Choose entry A.



Entry A
The following is a GGA-PBE calculation of an optimized crystal structure of Ag3BRu, from Alexandria.

## Properties
Space-group type   No. 221

Cell: 5.0841 5.0841 5.0841 Å, 90.00 90.00 90.00°
Closest atoms and distances in Å follow each position.
Atoms (fractional coordinates):
Ru (0.0000, 0.0000, 0.0000)  6 Ag 2.54
B (0.5000, 0.5000, 0.5000)  12 Ag 3.59
Ag (0.0000, 0.5000, 0.0000)  2 Ru 2.54
Ag (0.0000, 0.0000, 0.5000)  2 Ru 2.54
Ag (0.5000, 0.0000, 0.0000)  2 Ru 2.54



Entry B
The following is a GGA-PBE calculation of an optimized crystal structure of Ag3BRu, from Alexandria.

## Properties
Space-group type   No. 221

Cell: 4.3115 4.3115 4.3115 Å, 90.00 90.00 90.00°
Closest atoms and distances in Å follow each position.
Atoms (fractional coordinates):
Ru (0.5000, 0.5000, 0.5000)  12 Ag 3.05
B (0.0000, 0.0000, 0.0000)  6 Ag 2.16
Ag (0.0000, 0.5000, 0.0000)  2 B 2.16
Ag (0.0000, 0.0000, 0.5000)  2 B 2.16
Ag (0.5000, 0.0000, 0.0000)  2 B 2.16



What should be chosen as the most stable of them? Choose entry B.



Entry A
The following is a GGA-PBE calculation of an optimized crystal structure of AgB3S, from Alexandria.

## Properties
Space-group type   No. 221

Cell: 3.8756 3.8756 3.8756 Å, 90.00 90.00 90.00°
Closest atoms and distances in Å follow each position.
Atoms (fractional coordinates):
S (0.0000, 0.0000, 0.0000)  6 B 1.94
B (0.0000, 0.5000, 0.0000)  2 S 1.94
B (0.0000, 0.0000, 0.5000)  2 S 1.94
B (0.5000, 0.0000, 0.0000)  2 S 1.94
Ag (0.5000, 0.5000, 0.5000)  12 B 2.74



Entry B
The following is a GGA-PBE calculation of an optimized crystal structure of AgB3S, from Alexandria.

## Properties
Space-group type   No. 221

Cell: 4.2171 4.2171 4.2171 Å, 90.00 90.00 90.00°
Closest atoms and distances in Å follow each position.
Atoms (fractional coordinates):
S (0.5000, 0.5000, 0.5000)  12 B 2.98
B (0.0000, 0.5000, 0.0000)  2 Ag 2.11
B (0.0000, 0.0000, 0.5000)  2 Ag 2.11
B (0.5000, 0.0000, 0.0000)  2 Ag 2.11
Ag (0.0000, 0.0000, 0.0000)  6 B 2.11



What should be chosen as the most stable of them? Choose entry A.